# 1
{
  "formula": "Y2TcBrO",
  "functional": "PBE-GGA",
  "state": "relaxed",
  "lattice_angstrom": [[5.3716, 0.0000, 0.0000], [0.0000, 4.3813, 0.0000], [0.0000, 0.0000, 5.3716]],
  "species": ["Y", "Y", "O", "Tc", "Br"],
  "frac_coords": [[0.0000, 0.0000, 0.5000], [0.5000, 0.0000, 0.0000], [0.5000, 0.5000, 0.5000], [0.0000, 0.5000, 0.0000], [0.0000, 0.0000, 0.0000]],
  "energy_ev_per_atom": -5.45,
  "n_ef_per_ev_cell": 3.0,
  "total_magnetization_mub_per_cell": 0.00,
  "raw_formation_energy_ev_per_atom": 0.54
}


# 2
{
  "formula": "TeBr2O",
  "functional": "PBE-GGA",
  "state": "relaxed",
  "lattice_angstrom": [[7.1572, 1.4522, 4.5478], [8.2298, -1.3027, 2.1424], [8.2212, 2.3318, 0.9953]],
  "species": ["Te", "O", "Br", "Br"],
  "frac_coords": [[0.5000, 0.5000, 0.5000], [0.0000, 0.0000, 0.0000], [0.0796, 0.0796, 0.0796], [0.9204, 0.9204, 0.9204]],
  "energy_ev_per_atom": -2.39,
  "n_ef_per_ev_cell": 1.3,
  "de_polymorph_mev_per_atom": 956,
  "total_magnetization_mub_per_cell": 0.00,
  "raw_formation_energy_ev_per_atom": 0.47
}


# 3
{
  "formula": "Te4BrO4",
  "functional": "PBE-GGA",
  "state": "relaxed",
  "lattice_angstrom": [[-3.2803, 2.3990, 3.0717], [-0.0328, -6.5929, 5.1141], [6.3838, 3.2733, 4.2608]],
  "species": ["Te", "Te", "Te", "Te", "Te", "Te", "Te", "Te", "Br", "Br", "O", "O", "O", "O", "O", "O", "O", "O"],
  "frac_coords": [[0.5783, 0.9504, 0.2563], [0.5783, 0.0496, 0.7437], [0.0783, 0.7563, 0.5496], [0.9217, 0.4504, 0.7563], [0.9217, 0.5496, 0.2437], [0.4217, 0.2563, 0.0496], [0.4217, 0.7437, 0.9504], [0.0783, 0.2437, 0.4504], [0.0000, 0.0000, 0.0000], [0.5000, 0.5000, 0.5000], [0.2636, 0.4145, 0.8568], [0.7636, 0.6432, 0.9145], [0.2636, 0.5855, 0.1432], [0.2364, 0.0855, 0.6432], [0.7364, 0.8568, 0.5855], [0.2364, 0.9145, 0.3568], [0.7636, 0.3568, 0.0855], [0.7364, 0.1432, 0.4145]],
  "energy_ev_per_atom": -4.19,
  "n_ef_per_ev_cell": 9.4,
  "total_magnetization_mub_per_cell": 0.00,
  "raw_formation_energy_ev_per_atom": -0.41
}


# 4
{
  "formula": "Te2BrO",
  "functional": "PBE-GGA",
  "state": "relaxed",
  "lattice_angstrom": [[-3.8148, -2.2251, 3.2960], [-1.0704, -3.8242, -3.8207], [2.6839, -7.4218, 2.7026]],
  "species": ["Te", "Te", "Te", "Te", "O", "O", "Br", "Br"],
  "frac_coords": [[0.4687, 0.1250, 0.2500], [0.2813, 0.6250, 0.2500], [0.3750, 0.5313, 0.7500], [0.8750, 0.7187, 0.7500], [0.5000, 0.5000, 0.0000], [0.2500, 0.7500, 0.5000], [0.0000, 0.0000, 0.0000], [0.7500, 0.2500, 0.5000]],
  "energy_ev_per_atom": -3.26,
  "n_ef_per_ev_cell": 4.9,
  "de_polymorph_mev_per_atom": 0,
  "total_magnetization_mub_per_cell": 0.00,
  "raw_formation_energy_ev_per_atom": -0.03
}